VASP calculation (GGA+U) on a geometry-optimized SrFeCoF6 structure.

## Properties
For the total energy, the calculation gives -0.1992 hartree per atom. The volume is 14.65 Å³/atom.

a b c (Å): 5.0824 5.0824 10.2114
angles (deg): 90.00 90.00 90.00
Space group P4_2nm (No. 102)
Unique sites:
1 Sr 0.0000 0.0000 0.0000 (multiplicity 2)
2 Fe 0.0000 0.0000 0.6674 (multiplicity 2)
3 Co 0.0000 0.0000 0.3326 (multiplicity 2)
4 F 0.1722 0.1722 0.4969 (multiplicity 4)
5 F 0.2129 0.2129 0.1860 (multiplicity 4)
6 F 0.2156 0.2156 0.8177 (multiplicity 4)